No. 1
DFT (PBE) results for a relaxed structure of K2SnS. Values from VASP.

Calculated values
Formation energy (no corrections) = -0.11 eV per atom
Space-group type = Fm-3m, No. 225

```
&SYSTEM
  ibrav = 0, nat = 4, ntyp = 3
/
ATOMIC_SPECIES
Sn 118.71 Sn.upf
K 39.10 K.upf
S 32.06 S.upf
ATOMIC_POSITIONS angstrom
Sn -3.274 -5.450 -2.875
K -4.911 -8.174 -4.312
K -1.637 -2.725 -1.437
S 0.000 0.000 0.000
CELL_PARAMETERS angstrom
0.706 -5.152 -2.327
-3.891 -4.071 0.860
-3.362 -1.676 -4.282
```


No. 2
DFT (PBE) results for a relaxed structure of PrSi2Mo. Values from VASP.

Calculated values
Formation energy (no corrections) = -0.35 eV per atom
Space-group type = R-3m, No. 166

```
&SYSTEM
  ibrav = 0, nat = 4, ntyp = 3
/
ATOMIC_SPECIES
Si 28.09 Si.upf
Pr 140.91 Pr.upf
Mo 95.94 Mo.upf
ATOMIC_POSITIONS angstrom
Si -3.281 -3.382 7.183
Si -1.404 -1.289 1.674
Pr -2.343 -2.335 4.428
Mo 0.000 0.000 0.000
CELL_PARAMETERS angstrom
-3.811 -0.490 1.754
-1.217 -3.802 1.379
0.343 -0.380 5.724
```


No. 3
DFT (PBE) results for a relaxed structure of Pm3Th3NpN8. Values from VASP.

Calculated values
Formation energy (no corrections) = -1.39 eV per atom
Space-group type = R-3m, No. 166

```
&SYSTEM
  ibrav = 0, nat = 15, ntyp = 4
/
ATOMIC_SPECIES
N 14.01 N.upf
Pm 145.00 Pm.upf
Th 232.04 Th.upf
Np 237.00 Np.upf
ATOMIC_POSITIONS angstrom
N 0.000 2.093 1.504
N 5.631 -1.157 1.704
N 2.015 3.265 4.108
N 3.616 2.333 1.692
N 1.601 -1.157 1.704
N 0.000 -0.225 4.120
N 3.616 0.015 4.308
N -2.015 3.265 4.108
Pm 0.000 0.000 0.000
Pm -1.808 3.132 -0.011
Pm 1.808 3.132 -0.011
Th 3.616 -2.078 2.917
Th -1.808 1.054 2.906
Th 1.808 1.054 2.906
Np 0.000 -2.078 2.917
CELL_PARAMETERS angstrom
7.232 0.000 0.000
-3.616 6.263 -0.022
0.000 -4.155 5.834
```


No. 4
DFT (PBE) results for a relaxed structure of TlSiSnAu2. Values from VASP.

Calculated values
Formation energy (no corrections) = 0.86 eV per atom
Space-group type = P4/mmm, No. 123

```
&SYSTEM
  ibrav = 0, nat = 5, ntyp = 4
/
ATOMIC_SPECIES
Au 196.97 Au.upf
Tl 204.38 Tl.upf
Sn 118.71 Sn.upf
Si 28.09 Si.upf
ATOMIC_POSITIONS angstrom
Au 0.000 0.000 2.620
Au 2.620 0.000 0.000
Tl 0.000 0.000 0.000
Sn 2.620 2.616 2.620
Si 0.000 2.616 0.000
CELL_PARAMETERS angstrom
5.239 0.000 0.000
0.000 5.231 0.000
0.000 0.000 5.239
```


No. 5
DFT (PBE) results for a relaxed structure of AlVPd2. Values from VASP.

Calculated values
Calculated formation energy = -0.497 eV per atom
Space-group type = P4/mmm, No. 123

```
&SYSTEM
  ibrav = 0, nat = 4, ntyp = 3
/
ATOMIC_SPECIES
Pd 106.42 Pd.upf
V 50.94 V.upf
Al 26.98 Al.upf
ATOMIC_POSITIONS angstrom
Pd -1.492 0.122 0.853
Pd -4.789 0.393 2.737
V -2.853 -1.561 2.559
Al 0.287 -1.819 0.764
CELL_PARAMETERS angstrom
-0.667 -2.623 -0.790
1.242 -1.015 2.319
-6.281 0.516 3.590
```


No. 6
DFT (PBE) results for a relaxed structure of LiIrSe. Values from VASP.

Calculated values
Formation energy (no corrections) = -0.20 eV per atom
Space-group type = P-6m2, No. 187

```
&SYSTEM
  ibrav = 0, nat = 3, ntyp = 3
/
ATOMIC_SPECIES
Li 6.94 Li.upf
Se 78.96 Se.upf
Ir 192.22 Ir.upf
ATOMIC_POSITIONS angstrom
Li 0.000 2.452 1.004
Se 2.124 1.226 2.508
Ir 0.000 0.000 2.508
CELL_PARAMETERS angstrom
4.247 0.000 0.000
-2.124 3.678 0.000
0.000 0.000 3.010
```


No. 7
DFT (PBE) results for a relaxed structure of TiNi2Mo. Values from VASP.

Calculated values
Calculated formation energy = 0.218 eV per atom
Space-group type = I-42d, No. 122

```
&SYSTEM
  ibrav = 0, nat = 8, ntyp = 3
/
ATOMIC_SPECIES
Ti 47.87 Ti.upf
Ni 58.69 Ni.upf
Mo 95.94 Mo.upf
ATOMIC_POSITIONS angstrom
Ti -7.553 -0.347 -0.671
Ti -4.416 1.325 -1.074
Ni -3.959 3.557 -0.183
Ni -5.189 -0.972 -0.744
Ni -7.103 1.887 0.218
Ni -11.510 3.217 -0.853
Mo -6.328 4.191 -0.110
Mo 0.000 0.000 0.000
CELL_PARAMETERS angstrom
-3.191 5.863 -0.513
-5.641 -3.213 -1.634
-5.049 1.194 1.367
```


No. 8
DFT (PBE) results for a relaxed structure of Ca2NiW. Values from VASP.

Calculated values
Calculated formation energy = 0.935 eV per atom
Space-group type = P4/mmm, No. 123

```
&SYSTEM
  ibrav = 0, nat = 4, ntyp = 3
/
ATOMIC_SPECIES
W 183.84 W.upf
Ni 58.69 Ni.upf
Ca 40.08 Ca.upf
ATOMIC_POSITIONS angstrom
W -0.164 -2.149 -2.183
Ni -0.414 -2.802 1.180
Ca -2.773 -1.941 -0.583
Ca 0.000 0.000 0.000
CELL_PARAMETERS angstrom
-3.023 -2.593 2.780
-2.523 -1.289 -3.946
2.195 -3.010 -0.421
```


No. 9
DFT (PBE) results for a relaxed structure of Np2BeGa8. Values from VASP.

Calculated values
Calculated formation energy = -0.139 eV per atom
Space-group type = P4/mmm, No. 123

```
&SYSTEM
  ibrav = 0, nat = 11, ntyp = 3
/
ATOMIC_SPECIES
Ga 69.72 Ga.upf
Np 237.00 Np.upf
Be 9.01 Be.upf
ATOMIC_POSITIONS angstrom
Ga -6.123 7.078 3.057
Ga -6.621 4.480 1.771
Ga -1.276 1.834 -1.165
Ga -3.699 4.456 0.946
Ga -2.437 -0.501 0.402
Ga -7.284 4.743 4.624
Ga -4.118 1.772 -0.410
Ga -4.860 2.121 2.513
Np -1.946 2.104 1.695
Np -4.435 4.797 3.863
Be 0.000 0.000 0.000
CELL_PARAMETERS angstrom
-1.018 2.010 -3.665
-3.340 -2.660 -0.531
-6.381 6.902 5.558
```


No. 10
DFT (PBE) results for a relaxed structure of Tb2Dy4Th. Values from VASP.

Calculated values
Calculated formation energy = 0.084 eV per atom
Space-group type = R-3m, No. 166

```
&SYSTEM
  ibrav = 0, nat = 7, ntyp = 3
/
ATOMIC_SPECIES
Th 232.04 Th.upf
Dy 162.50 Dy.upf
Tb 158.93 Tb.upf
ATOMIC_POSITIONS angstrom
Th 0.000 0.000 0.000
Dy 5.312 3.067 8.965
Dy 1.771 1.022 2.776
Dy 1.771 1.022 11.885
Dy 5.312 3.067 18.075
Tb 5.312 3.067 14.686
Tb 1.771 1.022 6.165
CELL_PARAMETERS angstrom
3.541 0.000 0.000
1.771 3.067 0.000
1.771 1.022 20.850
```


No. 11
DFT (PBE) results for a relaxed structure of TbPm3Sn. Values from VASP.

Calculated values
Calculated formation energy = 0.019 eV per atom
Space-group type = Cmcm, No. 63

```
&SYSTEM
  ibrav = 0, nat = 10, ntyp = 3
/
ATOMIC_SPECIES
Sn 118.71 Sn.upf
Pm 145.00 Pm.upf
Tb 158.93 Tb.upf
ATOMIC_POSITIONS angstrom
Sn -0.840 0.598 2.993
Sn -0.518 -3.877 6.260
Pm 2.586 -4.247 4.640
Pm -2.223 -1.371 5.563
Pm 0.865 -1.908 3.689
Pm -3.944 0.968 4.612
Pm -2.397 -1.343 1.035
Pm 0.000 0.000 0.000
Tb -0.457 1.959 5.646
Tb -0.902 -5.237 3.607
CELL_PARAMETERS angstrom
-4.793 -2.686 2.070
5.208 -7.078 2.877
-1.774 6.485 4.305
```


No. 12
DFT (PBE) results for a relaxed structure of CePmSbP. Values from VASP.

Calculated values
Formation energy (no corrections) = -1.30 eV per atom
Space-group type = R3m, No. 160

```
&SYSTEM
  ibrav = 0, nat = 4, ntyp = 4
/
ATOMIC_SPECIES
Ce 140.12 Ce.upf
Pm 145.00 Pm.upf
P 30.97 P.upf
Sb 121.76 Sb.upf
ATOMIC_POSITIONS angstrom
Ce -4.890 1.489 -5.337
Pm -3.782 3.983 -2.354
P -1.901 2.048 -1.154
Sb -5.719 6.236 -3.426
CELL_PARAMETERS angstrom
-0.861 1.430 -3.925
-4.000 -0.104 -1.478
-2.759 6.960 0.824
```


No. 13
DFT (PBE) results for a relaxed structure of BeCrNi2. Values from VASP.

Calculated values
Calculated formation energy = 0.353 eV per atom
Space-group type = I-42d, No. 122

```
&SYSTEM
  ibrav = 0, nat = 8, ntyp = 3
/
ATOMIC_SPECIES
Ni 58.69 Ni.upf
Cr 52.00 Cr.upf
Be 9.01 Be.upf
ATOMIC_POSITIONS angstrom
Ni 1.543 -8.129 -1.052
Ni 2.549 -6.394 0.131
Ni -0.329 -3.240 0.346
Ni 1.028 -2.777 -1.488
Cr 0.000 0.000 0.000
Cr 0.492 -5.393 0.408
Be -0.996 -1.764 -1.253
Be 1.904 -4.878 -1.440
CELL_PARAMETERS angstrom
-2.408 -2.279 0.595
0.416 -1.249 -3.101
4.388 -6.743 1.474
```


No. 14
DFT (PBE) results for a relaxed structure of HfAsS2. Values from VASP.

Calculated values
Formation energy (no corrections) = -0.83 eV per atom
Space-group type = R-3m, No. 166

```
&SYSTEM
  ibrav = 0, nat = 4, ntyp = 3
/
ATOMIC_SPECIES
S 32.06 S.upf
As 74.92 As.upf
Hf 178.49 Hf.upf
ATOMIC_POSITIONS angstrom
S -1.636 -1.693 1.020
S -14.184 -14.679 8.847
As 0.000 0.000 0.000
Hf -7.910 -8.186 4.934
CELL_PARAMETERS angstrom
-6.707 -4.070 3.291
-5.035 -6.643 1.703
-4.078 -5.658 4.873
```


No. 15
DFT (PBE) results for a relaxed structure of MnCd4Ir. Values from VASP.

Calculated values
Calculated formation energy = 0.438 eV per atom
Space-group type = F-43m, No. 216

```
&SYSTEM
  ibrav = 0, nat = 6, ntyp = 3
/
ATOMIC_SPECIES
Mn 54.94 Mn.upf
Cd 112.41 Cd.upf
Ir 192.22 Ir.upf
ATOMIC_POSITIONS angstrom
Mn 0.000 0.000 0.000
Cd -7.025 2.364 -0.496
Cd -6.469 1.889 -3.128
Cd -7.272 -0.161 -1.509
Cd -4.795 0.945 -1.185
Ir -9.586 1.889 -2.369
CELL_PARAMETERS angstrom
-4.962 -2.214 -0.649
-4.467 2.843 1.381
-3.352 1.890 -3.891
```


No. 16
DFT (PBE) results for a relaxed structure of K3CeNp2Te6. Values from VASP.

Calculated values
Formation energy (no corrections) = -1.04 eV per atom
Space-group type = C2/m, No. 12

```
&SYSTEM
  ibrav = 0, nat = 12, ntyp = 4
/
ATOMIC_SPECIES
Ce 140.12 Ce.upf
Te 127.60 Te.upf
K 39.10 K.upf
Np 237.00 Np.upf
ATOMIC_POSITIONS angstrom
Ce 0.000 0.000 0.000
Te 2.638 4.567 1.736
Te 2.683 0.000 1.738
Te 0.015 0.026 6.492
Te -0.030 4.594 6.489
Te 3.994 2.270 6.489
Te -1.341 2.324 1.738
K 1.327 2.297 4.114
K -2.664 4.602 4.114
K 5.317 -0.008 4.114
Np -0.001 4.596 0.000
Np 3.981 2.296 0.000
CELL_PARAMETERS angstrom
7.958 -0.001 0.000
-3.978 6.893 0.000
-1.327 -2.298 8.227
```


No. 17
DFT (PBE) results for a relaxed structure of KFeNi3. Values from VASP.

Calculated values
Calculated formation energy = 2.251 eV per atom
Space-group type = Pm-3m, No. 221

```
&SYSTEM
  ibrav = 0, nat = 5, ntyp = 3
/
ATOMIC_SPECIES
K 39.10 K.upf
Ni 58.69 Ni.upf
Fe 55.84 Fe.upf
ATOMIC_POSITIONS angstrom
K 0.000 0.000 0.000
Ni 0.000 0.000 2.224
Ni 2.224 0.000 0.000
Ni 0.000 2.224 0.000
Fe 2.224 2.224 2.224
CELL_PARAMETERS angstrom
4.447 0.000 0.000
0.000 4.447 0.000
0.000 0.000 4.447
```


No. 18
DFT (PBE) results for a relaxed structure of In2SbPd8. Values from VASP.

Calculated values
Formation energy (no corrections) = -0.40 eV per atom
Space-group type = Immm, No. 71

```
&SYSTEM
  ibrav = 0, nat = 11, ntyp = 3
/
ATOMIC_SPECIES
Pd 106.42 Pd.upf
In 114.82 In.upf
Sb 121.76 Sb.upf
ATOMIC_POSITIONS angstrom
Pd -5.487 -0.973 0.856
Pd -1.296 0.241 4.357
Pd -1.974 1.975 2.017
Pd -5.636 1.326 2.588
Pd 2.217 3.189 5.519
Pd -3.542 1.928 4.303
Pd 2.365 0.890 3.786
Pd 0.272 0.288 2.071
In 0.138 2.593 3.835
In -3.408 -0.377 2.540
Sb -0.396 2.028 -0.230
CELL_PARAMETERS angstrom
-0.791 4.057 -0.460
-7.333 -1.301 1.143
4.854 -0.540 5.690
```


No. 19
DFT (PBE) results for a relaxed structure of NdHoTh4. Values from VASP.

Calculated values
Calculated formation energy = 0.271 eV per atom
Space-group type = F-43m, No. 216

```
&SYSTEM
  ibrav = 0, nat = 6, ntyp = 3
/
ATOMIC_SPECIES
Ho 164.93 Ho.upf
Th 232.04 Th.upf
Nd 144.24 Nd.upf
ATOMIC_POSITIONS angstrom
Ho 0.000 0.000 0.000
Th 1.752 -7.196 -2.116
Th 2.967 -9.731 -0.329
Th 0.834 -7.583 1.062
Th 3.936 -6.613 0.331
Nd 1.186 -3.890 -0.131
CELL_PARAMETERS angstrom
-1.933 -6.220 -1.316
4.254 -4.284 -2.775
2.423 -5.057 3.566
```


Density, record by record: 2.9; 6.1; 9.3; 8.6; 8.4; 9.8; 7.7; 6.1; 8.5; 8.8; 6.7; 6.5; 6.7; 6.2; 10.0; 5.5; 5.1; 10.4; 9.9 g/cm3
Total magnetization, record by record: 1.95; 0.00; 1.07; 0.00; 0.00; 0.00; 0.00; 3.03; 8.02; 0.00; 0.22; 0.63; 0.00; 0.00; 4.24; 9.00; 4.26; 0.00; 0.00 μB per formula unit